(a)
Computed, not measured: Ni3Pt3W after structural relaxation at the PBE-GGA level of DFT.

Cell: 7.380 7.380 7.380 Å, 90.00 90.00 90.00°
Fractional coordinates of all 28 atoms:
Ni 0.093 0.407 0.593
Ni 0.102 0.898 0.398
Ni 0.218 0.218 0.218
Ni 0.282 0.782 0.718
Ni 0.398 0.102 0.898
Ni 0.407 0.593 0.093
Ni 0.593 0.093 0.407
Ni 0.602 0.602 0.602
Ni 0.718 0.282 0.782
Ni 0.782 0.718 0.282
Ni 0.898 0.398 0.102
Ni 0.907 0.907 0.907
Pt 0.072 0.210 0.879
Pt 0.121 0.572 0.290
Pt 0.210 0.879 0.072
Pt 0.290 0.121 0.572
Pt 0.379 0.428 0.790
Pt 0.428 0.790 0.379
Pt 0.572 0.290 0.121
Pt 0.621 0.928 0.710
Pt 0.710 0.621 0.928
Pt 0.790 0.379 0.428
Pt 0.879 0.072 0.210
Pt 0.928 0.710 0.621
W 0.085 0.585 0.915
W 0.415 0.415 0.415
W 0.585 0.915 0.085
W 0.915 0.085 0.585

Summary:
Its magnetization is 0.00 Bohr magnetons per cell.

(b)
Computed, not measured: Ni3Pt3W after structural relaxation at the PBE-GGA level of DFT.

Cell: 7.132 7.132 4.364 Å, 90.00 90.00 120.00°
Fractional coordinates of all 14 atoms:
Ni 0.106 0.488 0.250
Ni 0.382 0.894 0.250
Ni 0.488 0.382 0.750
Ni 0.512 0.618 0.250
Ni 0.618 0.106 0.750
Ni 0.894 0.512 0.750
Pt 0.057 0.257 0.750
Pt 0.200 0.943 0.750
Pt 0.257 0.200 0.250
Pt 0.743 0.800 0.750
Pt 0.800 0.057 0.250
Pt 0.943 0.743 0.250
W 0.333 0.667 0.750
W 0.667 0.333 0.250

Summary:
Its magnetization is 0.00 Bohr magnetons per cell.

It is (b) that is the most stable of them.

(a)
Computed, not measured: Ni3Pt2W after structural relaxation at the PBE-GGA level of DFT.

Cell: 8.427 7.789 4.930 Å, 79.53 65.35 35.12°
Fractional coordinates of all 12 atoms:
Ni 0.165 0.165 0.835
Ni 0.165 0.672 0.328
Ni 0.328 0.835 0.165
Ni 0.672 0.165 0.835
Ni 0.835 0.328 0.672
Ni 0.835 0.835 0.165
Pt 0.250 0.250 0.250
Pt 0.250 0.750 0.750
Pt 0.750 0.250 0.250
Pt 0.750 0.750 0.750
W 0.335 0.335 0.665
W 0.665 0.665 0.335

Summary:
Its magnetization is 0.00 Bohr magnetons per cell.

(b)
Computed, not measured: Ni3Pt2W after structural relaxation at the PBE-GGA level of DFT.

Cell: 7.722 9.041 2.660 Å, 90.00 90.00 90.00°
Fractional coordinates of all 12 atoms:
Ni 0.000 0.000 0.000
Ni 0.237 0.087 0.500
Ni 0.263 0.587 0.000
Ni 0.500 0.500 0.500
Ni 0.737 0.413 0.000
Ni 0.763 0.913 0.500
Pt 0.084 0.775 0.500
Pt 0.416 0.275 0.000
Pt 0.584 0.725 0.000
Pt 0.916 0.225 0.500
W 0.000 0.500 0.500
W 0.500 0.000 0.000

Summary:
Its magnetization is 0.00 Bohr magnetons per cell.

It is (a) that is the most stable of them.